Entry 1:
! Na2TaNb, optimized geometry, DFT PBE; values from VASP
! **Energy of formation**: 1.448 eV/atom
! **DOS at the Fermi energy**: 6.457 states/eV/cell
! **Energy above the most stable polymorph in this dataset**: 0 meV/atom
&SYSTEM
  ibrav = 0, nat = 8, ntyp = 3
/
ATOMIC_SPECIES
Na 22.99 Na.upf
Ta 180.95 Ta.upf
Nb 92.91 Nb.upf
ATOMIC_POSITIONS angstrom
Na 6.317 2.079 -0.636
Na 2.079 2.106 0.636
Na -2.106 2.132 1.909
Na 2.132 2.106 3.181
Ta 4.211 0.000 1.272
Ta 0.000 0.000 2.545
Nb 0.000 0.000 0.000
Nb 0.000 4.211 1.272
CELL_PARAMETERS angstrom
-4.211 4.211 2.545
4.211 -4.211 2.545
4.211 4.211 -2.545

---

Entry 2:
! NaNb2Tc2, optimized geometry, DFT PBE; values from VASP
! **Energy of formation**: 0.358 eV/atom
! **DOS at the Fermi energy**: 8.858 states/eV/cell
! **Energy above the most stable polymorph in this dataset**: 0 meV/atom
&SYSTEM
  ibrav = 0, nat = 10, ntyp = 3
/
ATOMIC_SPECIES
Na 22.99 Na.upf
Nb 92.91 Nb.upf
Tc 98.00 Tc.upf
ATOMIC_POSITIONS angstrom
Na 0.000 0.000 0.000
Na 3.903 3.903 0.000
Nb 1.107 2.796 0.000
Nb 2.796 6.699 0.000
Nb 5.011 1.107 0.000
Nb 6.699 5.011 0.000
Tc 1.145 5.048 1.508
Tc 2.758 1.145 1.508
Tc 5.048 6.661 1.508
Tc 6.661 2.758 1.508
CELL_PARAMETERS angstrom
7.806 0.000 0.000
0.000 7.806 0.000
0.000 0.000 3.015

---

Question: energy above the most stable polymorph in this dataset of number 2 (NaNb2Tc2)?
Answer: 0 meV/atom

---

Question: Look up the energy above the most stable polymorph in this dataset of the second one.
Answer: 0 meV/atom